Compound: Tl2TeCl6
Source: Alexandria via LeMat-Bulk
Functional: GGA-PBE
Structure: optimized geometry

abc: 7.2169 8.0517 10.2781
angles: 90.00 88.39 90.00
Closest atoms and distances in Å follow each position.
Atoms (fractional coordinates):
Tl (0.5266, 0.9169, 0.2465)  8 Cl 3.27-3.54
Tl (0.9734, 0.4169, 0.2535)  8 Cl 3.27-3.54
Tl (0.4734, 0.0831, 0.7535)  8 Cl 3.27-3.54
Tl (0.0266, 0.5831, 0.7465)  8 Cl 3.27-3.54
Cl (0.2945, 0.8272, 0.5360)  1 Te 2.58
Cl (0.8213, 0.7289, 0.4598)  1 Te 2.57
Cl (0.3213, 0.7711, 0.9598)  1 Te 2.57
Cl (0.9198, 0.9782, 0.7446)  1 Te 2.57
Cl (0.2055, 0.3272, 0.9640)  1 Te 2.58
Cl (0.0802, 0.0218, 0.2554)  1 Te 2.57
Cl (0.4198, 0.5218, 0.2446)  1 Te 2.57
Cl (0.6787, 0.2289, 0.0402)  1 Te 2.57
Cl (0.7945, 0.6728, 0.0360)  1 Te 2.58
Cl (0.1787, 0.2711, 0.5402)  1 Te 2.57
Cl (0.7055, 0.1728, 0.4640)  1 Te 2.58
Cl (0.5802, 0.4782, 0.7554)  1 Te 2.57
Te (0.5000, 0.5000, 0.0000)  6 Cl 2.57-2.58
Te (0.0000, 0.0000, 0.5000)  6 Cl 2.57-2.58

Computed properties:
The uncorrected formation energy is -7.47 eV per formula unit. As for the total magnetic moment: 0.00 μB per formula unit. The excess energy over the best structure of this formula in the dataset is 0 meV per atom.